Below is Rb2MgHgBr6 after structural relaxation, with properties calculated at the PBE level.

Cell and atoms, written as POSCAR:
```
Rb2MgHgBr6
1.0
-3.9052 3.9052 5.5281
3.9052 -3.9052 5.5281
3.9052 3.9052 -5.5281
Rb Mg Hg Br
2 1 1 6
Direct
0.2500 0.7500 0.5000
0.7500 0.2500 0.5000
0.0000 0.0000 0.0000
0.5000 0.5000 0.0000
0.2428 0.2428 0.0000
0.2439 0.2439 0.4877
0.2439 0.7561 0.0000
0.7561 0.2439 0.0000
0.7561 0.7561 0.5123
0.7572 0.7572 0.0000
```

Properties
DFT total energy ... -0.0962 Ha/atom
E_form (uncorrected) ... -1.23 eV per atom
Energy above the most stable polymorph in this dataset ... 0.020 eV per atom

***

Below is MgReHgBr2 after structural relaxation, with properties calculated at the PBE level.

Cell and atoms, written as POSCAR:
```
MgReHgBr2
1.0
5.0512 0.0000 0.0000
0.0000 5.0512 0.0000
0.0000 0.0000 6.2209
Mg Re Hg Br
1 1 1 2
Direct
0.0000 0.0000 0.0000
0.5000 0.5000 0.5000
0.0000 0.0000 0.5000
0.0000 0.5000 0.0000
0.5000 0.0000 0.0000
```

Properties
DFT total energy ... -0.1033 Ha/atom
E_form (uncorrected) ... 0.73 eV per atom

***

Below is MgHgSe2Br after structural relaxation, with properties calculated at the PBE level.

Cell and atoms, written as POSCAR:
```
MgHgSe2Br
1.0
5.2241 0.0000 0.0000
0.0000 5.2241 0.0000
0.0000 0.0000 5.0640
Mg Hg Se Br
1 1 2 1
Direct
0.0000 0.0000 0.0000
0.5000 0.5000 0.5000
0.0000 0.5000 0.0000
0.5000 0.0000 0.0000
0.0000 0.0000 0.5000
```

Properties
DFT total energy ... -0.0807 Ha/atom
E_form (uncorrected) ... -0.09 eV per atom
Energy above the most stable polymorph in this dataset ... 0.000 eV per atom

***

Below is MgHg2SeBr after structural relaxation, with properties calculated at the PBE level.

Cell and atoms, written as POSCAR:
```
MgHg2SeBr
1.0
5.7350 0.0000 0.0000
0.0000 5.7350 0.0000
0.0000 0.0000 5.0420
Mg Hg Se Br
1 2 1 1
Direct
0.0000 0.0000 0.0000
0.0000 0.5000 0.5000
0.5000 0.0000 0.5000
0.0000 0.0000 0.5000
0.5000 0.5000 0.0000
```

Properties
DFT total energy ... -0.0599 Ha/atom
E_form (uncorrected) ... -0.16 eV per atom

***

Below is Mg2HgSeBr after structural relaxation, with properties calculated at the PBE level.

Cell and atoms, written as POSCAR:
```
Mg2HgSeBr
1.0
5.1922 0.0000 0.0000
0.0000 5.1922 0.0000
0.0000 0.0000 5.9998
Mg Hg Se Br
2 1 1 1
Direct
0.0000 0.5000 0.0000
0.5000 0.0000 0.0000
0.0000 0.0000 0.5000
0.0000 0.0000 0.0000
0.5000 0.5000 0.5000
```

Properties
DFT total energy ... -0.0711 Ha/atom
E_form (uncorrected) ... -0.20 eV per atom

***

Below is Mg2TcHgBr after structural relaxation, with properties calculated at the PBE level.

Cell and atoms, written as POSCAR:
```
Mg2TcHgBr
1.0
5.1963 0.0000 0.0000
0.0000 5.1963 0.0000
0.0000 0.0000 6.1253
Mg Tc Hg Br
2 1 1 1
Direct
0.0000 0.5000 0.0000
0.5000 0.0000 0.0000
0.0000 0.0000 0.5000
0.5000 0.5000 0.0000
0.5000 0.5000 0.5000
```

Properties
DFT total energy ... -0.0760 Ha/atom
E_form (uncorrected) ... 1.04 eV per atom

***

Below is MgTl2HgBr6 after structural relaxation, with properties calculated at the PBE level.

Cell and atoms, written as POSCAR:
```
MgTl2HgBr6
1.0
7.9403 0.0000 0.0000
0.0000 7.9942 0.0000
-7.1872 0.0000 10.3985
Mg Tl Hg Br
2 4 2 12
Direct
0.0000 0.0000 0.0000
0.0000 0.5000 0.5000
0.1972 0.0713 0.7361
0.1972 0.4287 0.2361
0.8028 0.5713 0.7639
0.8028 0.9287 0.2639
0.5000 0.0000 0.5000
0.5000 0.5000 0.0000
0.1380 0.2268 0.4538
0.1380 0.2732 0.9538
0.2199 0.6856 0.4494
0.2199 0.8144 0.9494
0.3706 0.0166 0.2621
0.3706 0.4834 0.7621
0.6294 0.5166 0.2379
0.6294 0.9834 0.7379
0.7801 0.1856 0.0506
0.7801 0.3144 0.5506
0.8620 0.7268 0.0462
0.8620 0.7732 0.5462
```

Properties
DFT total energy ... -0.0935 Ha/atom
E_form (uncorrected) ... -0.88 eV per atom

***

Below is MnHg3Br after structural relaxation, with properties calculated at the PBE level.

Cell and atoms, written as POSCAR:
```
MnHg3Br
1.0
5.3703 0.0000 0.0000
0.0000 5.3703 0.0000
0.0000 0.0000 5.3703
Mn Hg Br
1 3 1
Direct
0.0000 0.0000 0.0000
0.0000 0.0000 0.5000
0.0000 0.5000 0.0000
0.5000 0.0000 0.0000
0.5000 0.5000 0.5000
```

Properties
DFT total energy ... -0.0807 Ha/atom
E_form (uncorrected) ... 0.15 eV per atom
Energy above the most stable polymorph in this dataset ... 0.000 eV per atom

***

Below is MnHg2Br after structural relaxation, with properties calculated at the PBE level.

Cell and atoms, written as POSCAR:
```
MnHg2Br
1.0
7.4043 0.0000 0.0000
0.0000 7.4043 0.0000
0.0000 0.0000 7.4043
Mn Hg Br
4 8 4
Direct
0.0000 0.0000 0.0000
0.0000 0.5000 0.5000
0.5000 0.0000 0.5000
0.5000 0.5000 0.0000
0.0000 0.0000 0.5000
0.0000 0.5000 0.0000
0.2500 0.2500 0.2500
0.2500 0.7500 0.7500
0.5000 0.0000 0.0000
0.5000 0.5000 0.5000
0.7500 0.2500 0.7500
0.7500 0.7500 0.2500
0.2500 0.2500 0.7500
0.2500 0.7500 0.2500
0.7500 0.2500 0.2500
0.7500 0.7500 0.7500
```

Properties
DFT total energy ... -0.0933 Ha/atom
E_form (uncorrected) ... 0.32 eV per atom
Energy above the most stable polymorph in this dataset ... 0.346 eV per atom

***

Below is Mn2HgBr after structural relaxation, with properties calculated at the PBE level.

Cell and atoms, written as POSCAR:
```
Mn2HgBr
1.0
3.3559 0.0000 0.0000
-1.6779 2.9063 0.0000
0.0000 0.0000 24.7477
Mn Hg Br
6 3 3
Direct
0.0000 0.0000 0.2489
0.0000 0.0000 0.7511
0.3333 0.6667 0.4178
0.3333 0.6667 0.9155
0.6667 0.3333 0.0845
0.6667 0.3333 0.5822
0.0000 0.0000 0.0000
0.3333 0.6667 0.6667
0.6667 0.3333 0.3333
0.0000 0.0000 0.5000
0.3333 0.6667 0.1667
0.6667 0.3333 0.8333
```

Properties
DFT total energy ... -0.1756 Ha/atom
E_form (uncorrected) ... 0.30 eV per atom
Energy above the most stable polymorph in this dataset ... 0.094 eV per atom

***

Below is Mn2HgBr after structural relaxation, with properties calculated at the PBE level.

Cell and atoms, written as POSCAR:
```
Mn2HgBr
1.0
3.3638 0.0000 0.0000
0.0000 5.7532 0.0000
0.0000 0.0000 8.6447
Mn Hg Br
4 2 2
Direct
0.0000 0.0000 0.2456
0.0000 0.0000 0.7544
0.5000 0.5000 0.2456
0.5000 0.5000 0.7544
0.0000 0.5000 0.5000
0.5000 0.0000 0.5000
0.0000 0.5000 0.0000
0.5000 0.0000 0.0000
```

Properties
DFT total energy ... -0.1728 Ha/atom
E_form (uncorrected) ... 0.38 eV per atom
Energy above the most stable polymorph in this dataset ... 0.171 eV per atom

***

Below is Mn3Hg5Br16 after structural relaxation, with properties calculated at the PBE level.

Cell and atoms, written as POSCAR:
```
Mn3Hg5Br16
1.0
7.1108 -3.9884 0.0000
7.1108 3.9884 0.0000
-0.3771 0.0000 13.0374
Mn Hg Br
3 5 16
Direct
0.0000 0.0000 0.0000
0.1630 0.6564 0.5001
0.6564 0.1630 0.5001
0.1527 0.1527 0.2683
0.4924 0.4924 0.7643
0.4916 0.9980 0.0030
0.6552 0.6552 0.5026
0.9980 0.4916 0.0030
0.1527 0.1527 0.8800
0.1564 0.6793 0.8817
0.3122 0.8399 0.1257
0.3221 0.3221 0.1305
0.3216 0.8118 0.6235
0.3360 0.3360 0.6161
0.4794 0.4794 0.3832
0.5036 0.9917 0.3806
0.6740 0.6740 0.8723
0.6793 0.1564 0.8817
0.8118 0.3216 0.6235
0.8362 0.8362 0.6096
0.8399 0.3122 0.1257
0.8421 0.8421 0.1144
0.9821 0.9821 0.3878
0.9917 0.5036 0.3806
```

Properties
DFT total energy ... -0.1048 Ha/atom
E_form (uncorrected) ... -0.53 eV per atom

***

Below is Mn2HgBr after structural relaxation, with properties calculated at the PBE level.

Cell and atoms, written as POSCAR:
```
Mn2HgBr
1.0
3.2706 0.0000 0.0000
0.0000 3.2706 0.0000
0.0000 0.0000 7.5326
Mn Hg Br
2 1 1
Direct
0.0000 0.0000 0.2330
0.0000 0.0000 0.7670
0.5000 0.5000 0.0000
0.5000 0.5000 0.5000
```

Properties
DFT total energy ... -0.1730 Ha/atom
E_form (uncorrected) ... 0.37 eV per atom
Energy above the most stable polymorph in this dataset ... 0.166 eV per atom

***

Below is MnHgBr4 after structural relaxation, with properties calculated at the PBE level.

Cell and atoms, written as POSCAR:
```
MnHgBr4
1.0
0.0000 4.4889 4.4889
4.4889 0.0000 4.4889
4.4889 4.4889 0.0000
Mn Hg Br
1 1 4
Direct
0.0000 0.0000 0.0000
0.2500 0.2500 0.2500
0.1216 0.6261 0.6261
0.6261 0.1216 0.6261
0.6261 0.6261 0.1216
0.6261 0.6261 0.6261
```

Properties
DFT total energy ... -0.0770 Ha/atom
E_form (uncorrected) ... 0.60 eV per atom
Energy above the most stable polymorph in this dataset ... 1.188 eV per atom

***

Below is MnHgBr5 after structural relaxation, with properties calculated at the PBE level.

Cell and atoms, written as POSCAR:
```
MnHgBr5
1.0
3.6739 -6.8674 0.0000
3.6739 6.8674 0.0000
-3.1605 0.0000 9.1359
Mn Hg Br
2 2 10
Direct
0.0000 0.0000 0.0000
0.0000 0.0000 0.5000
0.4704 0.5296 0.7500
0.5296 0.4704 0.2500
0.0431 0.3344 0.6221
0.0723 0.9277 0.7500
0.2175 0.4136 0.0336
0.3344 0.0431 0.1221
0.4136 0.2175 0.5336
0.5864 0.7825 0.4664
0.6656 0.9569 0.8779
0.7825 0.5864 0.9664
0.9277 0.0723 0.2500
0.9569 0.6656 0.3779
```

Properties
DFT total energy ... -0.1120 Ha/atom
E_form (uncorrected) ... -0.50 eV per atom

***

Below is MnHg2Br after structural relaxation, with properties calculated at the PBE level.

Cell and atoms, written as POSCAR:
```
MnHg2Br
1.0
4.3136 0.0000 0.0000
0.0000 5.6064 0.0000
0.0000 0.0000 8.0006
Mn Hg Br
2 4 2
Direct
0.0000 0.0000 0.0000
0.5000 0.5000 0.0000
0.0000 0.5000 0.2253
0.0000 0.5000 0.7747
0.5000 0.0000 0.2253
0.5000 0.0000 0.7747
0.0000 0.0000 0.5000
0.5000 0.5000 0.5000
```

Properties
DFT total energy ... -0.0988 Ha/atom
E_form (uncorrected) ... 0.17 eV per atom
Energy above the most stable polymorph in this dataset ... 0.198 eV per atom

***

Below is MnHg2Br after structural relaxation, with properties calculated at the PBE level.

Cell and atoms, written as POSCAR:
```
MnHg2Br
1.0
3.7330 0.0000 0.0000
-1.8665 3.2328 0.0000
0.0000 0.0000 24.3471
Mn Hg Br
3 6 3
Direct
0.0000 0.0000 0.0000
0.3333 0.6667 0.6667
0.6667 0.3333 0.3333
0.0000 0.0000 0.2586
0.0000 0.0000 0.7414
0.3333 0.6667 0.4081
0.3333 0.6667 0.9253
0.6667 0.3333 0.0747
0.6667 0.3333 0.5919
0.0000 0.0000 0.5000
0.3333 0.6667 0.1667
0.6667 0.3333 0.8333
```

Properties
DFT total energy ... -0.1011 Ha/atom
E_form (uncorrected) ... 0.11 eV per atom
Energy above the most stable polymorph in this dataset ... 0.136 eV per atom

***

Below is Mn2HgBr after structural relaxation, with properties calculated at the PBE level.

Cell and atoms, written as POSCAR:
```
Mn2HgBr
1.0
7.1154 0.0000 0.0000
0.0000 7.1154 0.0000
0.0000 0.0000 7.1154
Mn Hg Br
8 4 4
Direct
0.0000 0.0000 0.0000
0.0000 0.5000 0.5000
0.2500 0.2500 0.2500
0.2500 0.7500 0.7500
0.5000 0.0000 0.5000
0.5000 0.5000 0.0000
0.7500 0.2500 0.7500
0.7500 0.7500 0.2500
0.0000 0.0000 0.5000
0.0000 0.5000 0.0000
0.5000 0.0000 0.0000
0.5000 0.5000 0.5000
0.2500 0.2500 0.7500
0.2500 0.7500 0.2500
0.7500 0.2500 0.2500
0.7500 0.7500 0.7500
```

Properties
DFT total energy ... -0.1564 Ha/atom
E_form (uncorrected) ... 0.82 eV per atom
Energy above the most stable polymorph in this dataset ... 0.616 eV per atom

***

Below is Mn5Hg3Br12 after structural relaxation, with properties calculated at the PBE level.

Cell and atoms, written as POSCAR:
```
Mn5Hg3Br12
1.0
-8.5516 8.5516 8.5516
8.5516 -8.5516 8.5516
8.5516 8.5516 -8.5516
Mn Hg Br
20 12 48
Direct
0.0000 0.0000 0.0000
0.0000 0.0000 0.5000
0.0000 0.5000 0.0000
0.0000 0.5000 0.5000
0.1250 0.7500 0.8750
0.1250 0.8750 0.2500
0.2500 0.1250 0.8750
0.2500 0.6250 0.3750
0.3750 0.2500 0.6250
0.3750 0.6250 0.7500
0.5000 0.0000 0.0000
0.5000 0.0000 0.5000
0.5000 0.5000 0.0000
0.5000 0.5000 0.5000
0.6250 0.3750 0.2500
0.6250 0.7500 0.3750
0.7500 0.3750 0.6250
0.7500 0.8750 0.1250
0.8750 0.1250 0.7500
0.8750 0.2500 0.1250
0.1250 0.2500 0.3750
0.1250 0.3750 0.7500
0.2500 0.3750 0.1250
0.2500 0.8750 0.6250
0.3750 0.1250 0.2500
0.3750 0.7500 0.1250
0.6250 0.2500 0.8750
0.6250 0.8750 0.7500
0.7500 0.1250 0.3750
0.7500 0.6250 0.8750
0.8750 0.6250 0.2500
0.8750 0.7500 0.6250
0.0167 0.1973 0.1132
0.0167 0.3194 0.9035
0.0841 0.6973 0.6806
0.0841 0.8868 0.4035
0.0965 0.6132 0.4159
0.0965 0.9833 0.6806
0.1132 0.0167 0.1973
0.1132 0.5965 0.9159
0.1806 0.1973 0.5841
0.1806 0.4833 0.5965
0.1973 0.1132 0.0167
0.1973 0.5841 0.1806
0.3027 0.3194 0.9159
0.3027 0.4833 0.3868
0.3194 0.9035 0.0167
0.3194 0.9159 0.3027
0.3868 0.3027 0.4833
0.3868 0.5841 0.9035
0.4035 0.0841 0.8868
0.4035 0.8194 0.5167
0.4159 0.0965 0.6132
0.4159 0.8194 0.8027
0.4833 0.3868 0.3027
0.4833 0.5965 0.1806
0.5167 0.4035 0.8194
0.5167 0.6132 0.6973
0.5841 0.1806 0.1973
0.5841 0.9035 0.3868
0.5965 0.1806 0.4833
0.5965 0.9159 0.1132
0.6132 0.4159 0.0965
0.6132 0.6973 0.5167
0.6806 0.0841 0.6973
0.6806 0.0965 0.9833
0.6973 0.5167 0.6132
0.6973 0.6806 0.0841
0.8027 0.4159 0.8194
0.8027 0.8868 0.9833
0.8194 0.5167 0.4035
0.8194 0.8027 0.4159
0.8868 0.4035 0.0841
0.8868 0.9833 0.8027
0.9035 0.0167 0.3194
0.9035 0.3868 0.5841
0.9159 0.1132 0.5965
0.9159 0.3027 0.3194
0.9833 0.6806 0.0965
0.9833 0.8027 0.8868
```

Properties
DFT total energy ... -0.1421 Ha/atom
E_form (uncorrected) ... -0.52 eV per atom

***

Below is MnHg2Br after structural relaxation, with properties calculated at the PBE level.

Cell and atoms, written as POSCAR:
```
MnHg2Br
1.0
3.3513 0.0000 0.0000
0.0000 4.6227 0.0000
0.0000 0.0000 13.0154
Mn Hg Br
2 4 2
Direct
0.0000 0.0000 0.0000
0.5000 0.5000 0.5000
0.0000 0.5000 0.3066
0.0000 0.5000 0.6934
0.5000 0.0000 0.1934
0.5000 0.0000 0.8066
0.0000 0.0000 0.5000
0.5000 0.5000 0.0000
```

Properties
DFT total energy ... -0.1020 Ha/atom
E_form (uncorrected) ... 0.09 eV per atom
Energy above the most stable polymorph in this dataset ... 0.110 eV per atom